Entry from Alexandria: a geometry-optimized Tl2CoAgF8 structure (GGA+U).

Lattice parameters (Å, degrees): 6.704 6.704 6.704 114.83 114.83 99.21
Element x y z (fractional)
F (0.370, 0.068, 0.302)
F (0.280, 0.027, 0.747)
F (0.280, 0.532, 0.253)
F (0.766, 0.068, 0.698)
F (0.468, 0.720, 0.747)
F (0.932, 0.234, 0.302)
F (0.932, 0.630, 0.698)
F (0.973, 0.720, 0.253)
Ag (0.000, 0.000, 0.000)
Tl (0.750, 0.250, 0.500)
Tl (0.500, 0.500, 0.000)
Co (0.250, 0.750, 0.500)

Results
symmetry = I-4m2 (119)
mass density = 5.33 g cm⁻³
VASP energy = -3.90 eV/atom